[1]
A relaxed NdTlP2S7 crystal. Source: the Open Quantum Materials Database, functional PBE.

Output
total DFT energy (no corrections) = -5.010 eV/atom
symmetry = No. 14

Lattice parameters (Å, degrees): 9.794 12.448 9.078 90.00 90.39 90.00
Sites, in units of the cell vectors:
Nd (0.142, 0.142, 0.393)
Nd (0.142, 0.358, 0.893)
Nd (0.858, 0.642, 0.107)
Nd (0.858, 0.858, 0.607)
Tl (0.396, 0.688, 0.873)
Tl (0.396, 0.812, 0.373)
Tl (0.604, 0.188, 0.627)
Tl (0.604, 0.312, 0.127)
P (0.187, 0.537, 0.198)
P (0.187, 0.963, 0.698)
P (0.275, 0.102, 0.023)
P (0.275, 0.398, 0.523)
P (0.725, 0.602, 0.477)
P (0.725, 0.898, 0.977)
P (0.813, 0.037, 0.302)
P (0.813, 0.463, 0.802)
S (0.019, 0.059, 0.679)
S (0.019, 0.441, 0.179)
S (0.090, 0.167, 0.072)
S (0.090, 0.333, 0.572)
S (0.149, 0.693, 0.147)
S (0.149, 0.807, 0.647)
S (0.251, 0.553, 0.422)
S (0.251, 0.947, 0.922)
S (0.337, 0.023, 0.569)
S (0.337, 0.477, 0.069)
S (0.368, 0.056, 0.211)
S (0.368, 0.444, 0.711)
S (0.372, 0.207, 0.890)
S (0.372, 0.293, 0.390)
S (0.628, 0.707, 0.610)
S (0.628, 0.793, 0.110)
S (0.632, 0.556, 0.289)
S (0.632, 0.944, 0.789)
S (0.663, 0.523, 0.931)
S (0.663, 0.977, 0.431)
S (0.749, 0.053, 0.078)
S (0.749, 0.447, 0.578)
S (0.851, 0.193, 0.353)
S (0.851, 0.307, 0.853)
S (0.910, 0.667, 0.428)
S (0.910, 0.833, 0.928)
S (0.981, 0.559, 0.821)
S (0.981, 0.941, 0.321)

---

[2]
A relaxed Nd3P2Se crystal. Source: the Open Quantum Materials Database, functional PBE.

Output
polymorph energy (0 for the lowest one) = 0.0 meV per atom
total DFT energy (no corrections) = -6.486 eV/atom
symmetry = No. 164

Lattice parameters (Å, degrees): 4.178 4.178 10.337 90.00 90.00 120.00
Sites, in units of the cell vectors:
Nd (0.000, 0.000, 0.000)
Nd (0.333, 0.667, 0.316)
Nd (0.667, 0.333, 0.684)
P (0.333, 0.667, 0.835)
P (0.667, 0.333, 0.165)
Se (0.000, 0.000, 0.500)

---

[3]
A relaxed Nd3P2Se crystal. Source: the Open Quantum Materials Database, functional PBE.

Output
polymorph energy (0 for the lowest one) = 4.5 meV per atom
total DFT energy (no corrections) = -6.481 eV/atom
symmetry = No. 71

Lattice parameters (Å, degrees): 7.266 7.266 7.266 146.58 131.93 59.81
Sites, in units of the cell vectors:
Nd (0.000, 0.000, 0.000)
Nd (0.324, 0.324, 0.000)
Nd (0.676, 0.676, 0.000)
P (0.165, 0.665, 0.500)
P (0.835, 0.335, 0.500)
Se (0.500, 0.000, 0.500)

---

[4]
A relaxed NdSm2P3 crystal. Source: the Open Quantum Materials Database, functional PBE.

Output
total DFT energy (no corrections) = -6.632 eV/atom
symmetry = No. 164

Lattice parameters (Å, degrees): 4.129 4.129 10.101 90.00 90.00 120.00
Sites, in units of the cell vectors:
Nd (0.000, 0.000, 0.000)
Sm (0.333, 0.667, 0.335)
Sm (0.667, 0.333, 0.665)
P (0.000, 0.000, 0.500)
P (0.333, 0.667, 0.830)
P (0.667, 0.333, 0.170)

---

[5]
A relaxed TbNd2P3 crystal. Source: the Open Quantum Materials Database, functional PBE.

Output
total DFT energy (no corrections) = -6.624 eV/atom
symmetry = No. 164

Lattice parameters (Å, degrees): 4.122 4.122 10.083 90.00 90.00 120.00
Sites, in units of the cell vectors:
Tb (0.000, 0.000, 0.000)
Nd (0.333, 0.667, 0.330)
Nd (0.667, 0.333, 0.670)
P (0.000, 0.000, 0.500)
P (0.333, 0.667, 0.840)
P (0.667, 0.333, 0.160)

---

[6]
A relaxed Tb2NdP3 crystal. Source: the Open Quantum Materials Database, functional PBE.

Output
total DFT energy (no corrections) = -6.625 eV/atom
symmetry = No. 164

Lattice parameters (Å, degrees): 4.074 4.074 9.972 90.00 90.00 120.00
Sites, in units of the cell vectors:
Tb (0.333, 0.667, 0.337)
Tb (0.667, 0.333, 0.663)
Nd (0.000, 0.000, 0.000)
P (0.000, 0.000, 0.500)
P (0.333, 0.667, 0.826)
P (0.667, 0.333, 0.174)

---

Please write out number 2 again, unchanged.
A relaxed Nd3P2Se crystal. Source: the Open Quantum Materials Database, functional PBE.

Output
polymorph energy (0 for the lowest one) = 0.0 meV per atom
total DFT energy (no corrections) = -6.486 eV/atom
symmetry = No. 164

Lattice parameters (Å, degrees): 4.178 4.178 10.337 90.00 90.00 120.00
Sites, in units of the cell vectors:
Nd (0.000, 0.000, 0.000)
Nd (0.333, 0.667, 0.316)
Nd (0.667, 0.333, 0.684)
P (0.333, 0.667, 0.835)
P (0.667, 0.333, 0.165)
Se (0.000, 0.000, 0.500)